A geometry-optimized Na2TcMoW structure, computed with PBE.

The calculation puts the magnetization at 0.00 μB/f.u. The calculation puts the density at 6446 kg/m³. The calculation puts the formation enthalpy at 0 K at 2.572 eV per atom. The calculation puts the total energy at -4.79 eV/atom.

The structure belongs to space group P4/mmm (No. 123); the cell edges are 4.907, 4.907 and 4.533 Å and the angles 90.00°, 90.00° and 90.00°. Symmetry generates all atoms from Na at (0.000, 0.500, 0.000), Tc at (0.000, 0.000, 0.500), Mo at (0.000, 0.000, 0.000) and W at (0.500, 0.500, 0.500).

=====

A geometry-optimized NaZr2TcMo structure, computed with PBE.

The calculation puts the magnetization at 0.00 μB/f.u. The calculation puts the density at 6380 kg/m³. The calculation puts the formation enthalpy at 0 K at 2.071 eV per atom. The calculation puts the energy above the lowest structure with this stoichiometry at 281 kJ/mol of formula units. The calculation puts the total energy at -5.85 eV/atom.

The structure belongs to space group P4/mmm (No. 123); the cell edges are 4.912, 4.912 and 4.307 Å and the angles 90.00°, 90.00° and 90.00°. Symmetry generates all atoms from Na at (0.000, 0.000, 0.000), Zr at (0.000, 0.500, 0.000), Tc at (0.500, 0.500, 0.500) and Mo at (0.000, 0.000, 0.500).

=====

A geometry-optimized NaZr2TcMo structure, computed with PBE.

The calculation puts the magnetization at 2.90 μB/f.u. The calculation puts the density at 5345 kg/m³. The calculation puts the formation enthalpy at 0 K at 1.489 eV per atom. The calculation puts the energy above the lowest structure with this stoichiometry at 0 kJ/mol of formula units. The calculation puts the total energy at -6.43 eV/atom.

The structure belongs to space group P4/mmm (No. 123); the cell edges are 4.924, 4.924 and 5.118 Å and the angles 90.00°, 90.00° and 90.00°. Symmetry generates all atoms from Na at (0.000, 0.000, 0.000), Zr at (0.000, 0.500, 0.500), Tc at (0.500, 0.500, 0.000) and Mo at (0.000, 0.000, 0.500).

=====

A geometry-optimized NaTe2Mo structure, computed with PBE.

The calculation puts the magnetization at 0.74 μB/f.u. The value obtained for the uncorrected formation energy is 0.501 eV per atom. The calculation puts the density at 6445 kg/m³. The calculation puts the energy above the lowest structure with this stoichiometry at 234 kJ/mol of formula units. The calculation puts the total energy at -4.11 eV/atom.

The structure belongs to space group R-3m (No. 166, hexagonal axes); the cell edges are 3.2627, 3.2627 and 31.3680 Å and the angles 90.00°, 90.00° and 120.00°. Symmetry generates all atoms from Na at (0.0000, 0.0000, 0.0000), Te at (0.0000, 0.0000, 0.4151) and Mo at (0.0000, 0.0000, 0.5000).

=====

A geometry-optimized NaTe2Mo structure, computed with PBE.

The calculation puts the magnetization at 0.00 μB/f.u. The value obtained for the uncorrected formation energy is 0.009 eV per atom. The calculation puts the density at 4351 kg/m³. The calculation puts the energy above the lowest structure with this stoichiometry at 44 kJ/mol of formula units. The calculation puts the total energy at -4.60 eV/atom.

The structure belongs to space group I-42d (No. 122); the cell edges are 6.962, 6.962 and 11.784 Å and the angles 90.00°, 90.00° and 90.00°. Symmetry generates all atoms from Na at (0.000, 0.000, 0.000), Te at (0.184, 0.250, 0.625) and Mo at (0.000, 0.000, 0.500).

=====

A geometry-optimized NaTe2Mo structure, computed with PBE.

The calculation puts the magnetization at 0.78 μB/f.u. The value obtained for the uncorrected formation energy is 0.088 eV per atom. The calculation puts the density at 7282 kg/m³. The calculation puts the energy above the lowest structure with this stoichiometry at 74 kJ/mol of formula units. The calculation puts the total energy at -4.52 eV/atom.

The structure belongs to space group Fm-3m (No. 225); the cell edges are 6.988, 6.988 and 6.988 Å and the angles 90.00°, 90.00° and 90.00°. Symmetry generates all atoms from Na at (0.000, 0.000, 0.000), Te at (0.250, 0.250, 0.250) and Mo at (0.000, 0.000, 0.500).

=====

A geometry-optimized NaTeMo3 structure, computed with PBE.

The calculation puts the magnetization at 1.38 μB/f.u. The value obtained for the uncorrected formation energy is 1.844 eV per atom. The calculation puts the density at 5905 kg/m³. The calculation puts the energy above the lowest structure with this stoichiometry at 0 kJ/mol of formula units. The calculation puts the total energy at -5.55 eV/atom.

The structure belongs to space group Pm-3m (No. 221); the cell edges are 4.977, 4.977 and 4.977 Å and the angles 90.00°, 90.00° and 90.00°. Symmetry generates all atoms from Na at (0.000, 0.000, 0.000), Te at (0.500, 0.500, 0.500) and Mo at (0.000, 0.500, 0.500).

=====

A geometry-optimized NaTe2Mo structure, computed with PBE.

The calculation puts the magnetization at 0.00 μB/f.u. The value obtained for the uncorrected formation energy is -0.104 eV per atom. The calculation puts the density at 5574 kg/m³. The calculation puts the energy above the lowest structure with this stoichiometry at 0 kJ/mol of formula units. The calculation puts the total energy at -4.71 eV/atom.

The structure belongs to space group R-3m (No. 166, hexagonal axes); the cell edges are 3.5884, 3.5884 and 29.9824 Å and the angles 90.00°, 90.00° and 120.00°. Symmetry generates all atoms from Na at (0.0000, 0.0000, 0.0000), Te at (0.0000, 0.0000, 0.1058) and Mo at (0.0000, 0.0000, 0.5000).